Computed, not measured: a geometry-optimized MnAuO2F structure at the PBE+U level of DFT.

## Properties
calculated volume: 73 Å³/cell
D(E_F): 0.427 states/eV per atom
DFT total energy: -23.865 eV/cell

abc: 4.1113 4.1113 4.2919
angles: 90.00 90.00 90.00
Space group P4/mmm (No. 123)
One atom of each set of equivalent atoms:
Mn: 0.0000 0.0000 0.0000 [1 per cell]
Au: 0.5000 0.5000 0.5000 [1 per cell]
O: 0.0000 0.5000 0.5000 [2 per cell]
F: 0.5000 0.5000 0.0000 [1 per cell]